(one)
The following is a DFT calculation (PBE) of a geometry-optimized YCrRe2 structure.

Cell lengths 3.0506, 4.7226, 9.2005 Å; angles 90.00, 90.00, 90.00 degrees
Last column: nearest neighbours and their distance in Å.
Space group Immm (No. 71)
Asymmetric unit:
Y1 0.0000 0.0000 0.0000 [2 per cell]  4 Cr 2.81, 8 Re 2.97-3.13, 2 Y 3.05
Cr1 0.0000 0.0000 0.5000 [2 per cell]  4 Re 2.56, 4 Y 2.81
Re1 0.0000 0.5000 0.2234 [4 per cell]  2 Cr 2.56, 4 Re 2.85

Output
Calculated volume = 132.5 Å³/cell
Total magnetic moment = 0.00 μB per formula unit

=====

(two)
The following is a DFT calculation (PBE) of a geometry-optimized YCrRe2 structure.

Cell lengths 3.1118, 3.1118, 7.0694 Å; angles 90.00, 90.00, 90.00 degrees
Last column: nearest neighbours and their distance in Å.
Space group P4mm (No. 99)
Asymmetric unit:
Y1 0.0000 0.0000 0.0000 [1 per cell]  4 Cr 3.04, 4 Re 3.06, 4 Y 3.11
Cr1 0.5000 0.5000 0.2962 [1 per cell]  5 Re 2.56-2.84
Re1 0.0000 0.0000 0.4817 [1 per cell]  4 Cr 2.56, 4 Re 2.68
Re2 0.5000 0.5000 0.6986 [1 per cell]  4 Re 2.68, 1 Cr 2.84

Output
Calculated volume = 68.5 Å³/cell
Total magnetic moment = 0.00 μB per formula unit

=====

(three)
The following is a DFT calculation (PBE) of a geometry-optimized YCrRe2 structure.

Cell lengths 6.3798, 6.3798, 6.3798 Å; angles 90.00, 90.00, 90.00 degrees
Last column: nearest neighbours and their distance in Å.
Space group Fm-3m (No. 225)
Asymmetric unit:
Y1 0.0000 0.0000 0.0000 [4 per cell]  8 Re 2.76
Cr1 0.0000 0.0000 0.5000 [4 per cell]  8 Re 2.76
Re1 0.2500 0.2500 0.2500 [8 per cell]  4 Cr 2.76, 4 Y 2.76

Output
Calculated volume = 259.7 Å³/cell
Total magnetic moment = 0.00 μB per formula unit

=====

(two) wins, 73 meV/atom ahead of the next structure.

=====

(one)
The following is a DFT calculation (PBE) of a geometry-optimized YCrRe2 structure.

Cell lengths 9.6313, 3.1111, 5.1079 Å; angles 90.00, 109.17, 90.00 degrees
Last column: nearest neighbours and their distance in Å.
Space group Cm (No. 8)
Asymmetric unit:
Y1 0.0000 0.0000 0.0000 [2 per cell]  7 Re 2.98-3.15, 4 Cr 3.11-3.32, 2 Y 3.11
Cr1 0.2790 0.5000 0.3454 [2 per cell]  4 Re 2.45-2.48
Re1 0.2218 0.0000 0.6650 [2 per cell]  2 Cr 2.45, 2 Re 2.61
Re2 0.4918 0.0000 0.4922 [2 per cell]  2 Cr 2.48, 2 Re 2.61

Output
Calculated volume = 144.6 Å³/cell
Total magnetic moment = 0.00 μB per formula unit

=====

(two)
The following is a DFT calculation (PBE) of a geometry-optimized YCrRe2 structure.

Cell lengths 5.4672, 9.1413, 2.7911 Å; angles 90.00, 110.04, 90.00 degrees
Last column: nearest neighbours and their distance in Å.
Space group C2/m (No. 12)
Asymmetric unit:
Y1 0.0000 0.0000 0.0000 [2 per cell]  2 Cr 2.73, 4 Re 2.78, 2 Y 2.79
Cr1 0.0000 0.5000 0.0000 [2 per cell]  2 Y 2.73, 4 Re 2.78, 2 Cr 2.79
Re1 0.2500 0.2500 0.5000 [4 per cell]  4 Re 2.73-2.79, 2 Cr 2.78, 2 Y 2.78

Output
Calculated volume = 131.0 Å³/cell
Total magnetic moment = 0.01 μB per formula unit

=====

(one) wins, 94 meV/atom ahead of the next structure.

=====

(one)
The following is a DFT calculation (PBE) of a geometry-optimized YCrRe2 structure.

Cell lengths 2.9472, 2.9472, 26.7427 Å; angles 90.00, 90.00, 120.00 degrees
Last column: nearest neighbours and their distance in Å.
Space group R-3m (No. 166, hexagonal axes)
Asymmetric unit:
Y1 0.0000 0.0000 0.0000 [3 per cell]  6 Y 2.95, 6 Re 3.10
Cr1 0.0000 0.0000 0.5000 [3 per cell]  6 Re 2.53
Re1 0.0000 0.0000 0.2364 [6 per cell]  3 Cr 2.53

Output
Calculated volume = 201.2 Å³/cell
Total magnetic moment = 0.00 μB per formula unit

=====

(two)
The following is a DFT calculation (PBE) of a geometry-optimized YCrRe2 structure.

Cell lengths 3.1832, 4.6252, 9.0244 Å; angles 90.00, 90.00, 90.00 degrees
Last column: nearest neighbours and their distance in Å.
Space group Cmm2 (No. 35)
Asymmetric unit:
Y1 0.0000 0.0000 0.0000 [2 per cell]  4 Y 2.81, 2 Cr 2.94, 2 Re 3.01
Cr1 0.0000 0.5000 0.2733 [2 per cell]  2 Re 2.45
Re1 0.0000 0.0000 0.4803 [2 per cell]  2 Cr 2.45, 2 Re 2.66
Re2 0.0000 0.5000 0.7170 [2 per cell]  6 Re 2.66-2.81

Output
Calculated volume = 132.9 Å³/cell
Total magnetic moment = 0.00 μB per formula unit

=====

(two) wins, 14 meV/atom ahead of the next structure.

=====

(one)
The following is a DFT calculation (PBE) of a geometry-optimized YCrRe2 structure.

Cell lengths 4.5311, 4.5311, 3.2157 Å; angles 90.00, 90.00, 90.00 degrees
Last column: nearest neighbours and their distance in Å.
Space group P4/mmm (No. 123)
Asymmetric unit:
Y1 0.0000 0.0000 0.0000 [1 per cell]  8 Re 2.78
Cr1 0.5000 0.5000 0.0000 [1 per cell]  8 Re 2.78
Re1 0.0000 0.5000 0.5000 [2 per cell]  4 Cr 2.78, 4 Y 2.78

Output
Calculated volume = 66.0 Å³/cell
Total magnetic moment = 0.00 μB per formula unit

=====

(two)
The following is a DFT calculation (PBE) of a geometry-optimized YCrRe2 structure.

Cell lengths 3.8605, 3.8605, 4.6881 Å; angles 90.00, 90.00, 90.00 degrees
Last column: nearest neighbours and their distance in Å.
Space group P4/mmm (No. 123)
Asymmetric unit:
Y1 0.0000 0.0000 0.0000 [1 per cell]  4 Cr 2.73, 8 Re 3.04
Cr1 0.5000 0.5000 0.0000 [1 per cell]  4 Y 2.73, 8 Re 3.04
Re1 0.0000 0.5000 0.5000 [2 per cell]  4 Re 2.73, 4 Cr 3.04, 4 Y 3.04

Output
Calculated volume = 69.9 Å³/cell
Total magnetic moment = 3.14 μB per formula unit

=====

(three)
The following is a DFT calculation (PBE) of a geometry-optimized YCrRe2 structure.

Cell lengths 2.9447, 3.9432, 6.1303 Å; angles 90.00, 101.24, 90.00 degrees
Last column: nearest neighbours and their distance in Å.
Space group P2/m (No. 10)
Asymmetric unit:
Y1 0.0000 0.0000 0.0000 [1 per cell]  2 Y 2.94, 2 Cr 3.07, 8 Re 3.07-3.09
Cr1 0.0000 0.0000 0.5000 [1 per cell]  4 Re 2.45
Re1 0.3818 0.5000 0.6914 [2 per cell]  2 Cr 2.45, 1 Re 2.57

Output
Calculated volume = 69.8 Å³/cell
Total magnetic moment = 0.00 μB per formula unit

=====

(three) wins, 188 meV/atom ahead of the next structure.